No. 1
# PBE Ba2DyGa2S6, optimized geometry
data_Ba2DyGa2S6
_cell_length_a 11.5238
_cell_length_b 7.2607
_cell_length_c 7.9042
_cell_angle_alpha 90.00
_cell_angle_beta 112.94
_cell_angle_gamma 90.00
_symmetry_space_group_name_H-M 'C 1 2/m 1'
_symmetry_Int_Tables_number 12
loop_
_symmetry_equiv_pos_as_xyz
'x,y,z'
'-x,-y,-z'
'-x,y,-z'
'x,-y,z'
'x+1/2,y+1/2,z'
'-x+1/2,-y+1/2,-z'
'-x+1/2,y+1/2,-z'
'x+1/2,-y+1/2,z'
loop_
_atom_site_label
_atom_site_type_symbol
_atom_site_fract_x
_atom_site_fract_y
_atom_site_fract_z
Ba1 Ba 0.2001 0.0000 0.1709
Dy1 Dy 0.0000 0.0000 0.5000
Ga1 Ga 0.0434 0.5000 0.3475
S1 S 0.0532 0.2375 0.7937
S2 S 0.2496 0.0000 0.5862
# density of states at the Fermi level: 7.90 states/eV/cell
# volume: 609.0 Å³ per cell
# mass density: 4.2 g cm⁻³
# uncorrected formation energy: -1.386 eV/atom

---

No. 2
# PBE Tb7Er5, optimized geometry
data_Tb7Er5
_cell_length_a 18.4088
_cell_length_b 3.5461
_cell_length_c 12.9881
_cell_angle_alpha 90.00
_cell_angle_beta 118.21
_cell_angle_gamma 90.00
_symmetry_space_group_name_H-M 'C 1 2/m 1'
_symmetry_Int_Tables_number 12
loop_
_symmetry_equiv_pos_as_xyz
'x,y,z'
'-x,-y,-z'
'-x,y,-z'
'x,-y,z'
'x+1/2,y+1/2,z'
'-x+1/2,-y+1/2,-z'
'-x+1/2,y+1/2,-z'
'x+1/2,-y+1/2,z'
loop_
_atom_site_label
_atom_site_type_symbol
_atom_site_fract_x
_atom_site_fract_y
_atom_site_fract_z
Tb1 Tb 0.0000 0.0000 0.0000
Tb2 Tb 0.0280 0.5000 0.2498
Tb3 Tb 0.1391 0.0000 0.7505
Tb4 Tb 0.1670 0.0000 0.5013
Er1 Er 0.0000 0.5000 0.5000
Er2 Er 0.1670 0.5000 0.0006
Er3 Er 0.1944 0.0000 0.2493
# density of states at the Fermi level: 32.71 states/eV/cell
# volume: 747.2 Å³ per cell
# mass density: 8.7 g cm⁻³
# polymorph energy (0 for the lowest one): 0 meV per atom

---

No. 3
# PBE PuHfOsRu, optimized geometry
data_PuHfOsRu
_cell_length_a 6.6339
_cell_length_b 6.6339
_cell_length_c 6.6339
_cell_angle_alpha 90.00
_cell_angle_beta 90.00
_cell_angle_gamma 90.00
_symmetry_space_group_name_H-M 'F -4 3 m'
_symmetry_Int_Tables_number 216
_symmetry_space_group_name_Hall 'F -4 2 3'
loop_
_atom_site_label
_atom_site_type_symbol
_atom_site_fract_x
_atom_site_fract_y
_atom_site_fract_z
Pu1 Pu 0.0000 0.0000 0.0000
Hf1 Hf 0.0000 0.0000 0.5000
Os1 Os 0.2500 0.2500 0.7500
Ru1 Ru 0.2500 0.2500 0.2500
# density of states at the Fermi level: 19.02 states/eV/cell
# volume: 291.9 Å³ per cell
# mass density: 16.2 g cm⁻³
# E: -184.16 eV/cell

---

No. 4
# PBE As2PPt, optimized geometry
data_As2PPt
_cell_length_a 3.5959
_cell_length_b 3.5959
_cell_length_c 18.7676
_cell_angle_alpha 90.00
_cell_angle_beta 90.00
_cell_angle_gamma 120.00
_symmetry_space_group_name_H-M 'R -3 m'
_symmetry_Int_Tables_number 166
_symmetry_space_group_name_Hall '-R 3 2"'
loop_
_atom_site_label
_atom_site_type_symbol
_atom_site_fract_x
_atom_site_fract_y
_atom_site_fract_z
As1 As 0.0000 0.0000 0.2493
P1 P 0.0000 0.0000 0.5000
Pt1 Pt 0.0000 0.0000 0.0000
# density of states at the Fermi level: 3.64 states/eV/cell
# volume: 210.2 Å³ per cell
# mass density: 8.9 g cm⁻³
# E: -62.91 eV/cell